[1]
DFT (PBE) results for an optimized crystal structure of LiLa2Tl.

Cell and atoms, written as CIF:
```
data_LiLa2Tl
_space_group_name_H-M_alt 'P 4 m m'
_space_group_IT_number 99
_cell_length_a 3.783
_cell_length_b 3.783
_cell_length_c 8.237
_cell_angle_alpha 90.00
_cell_angle_beta 90.00
_cell_angle_gamma 90.00
loop_
_space_group_symop_operation_xyz
'x,y,z'
'-y,x,z'
'-x,-y,z'
'y,-x,z'
'-x,y,z'
'y,x,z'
'x,-y,z'
'-y,-x,z'
loop_
_atom_site_label
_atom_site_type_symbol
_atom_site_fract_x
_atom_site_fract_y
_atom_site_fract_z
Li1 Li 0.000 0.000 0.000
La1 La 0.000 0.000 0.428
La2 La 0.500 0.500 0.730
Tl1 Tl 0.500 0.500 0.157
```

Computed properties:
Energy relative to the elements = -0.132 eV/atom
Crystal system = tetragonal
Volume = 29.46 Å³ per atom

---

[2]
DFT (PBE) results for an optimized crystal structure of Ac4FeSb2.

Cell and atoms, written as CIF:
```
data_Ac4FeSb2
_space_group_name_H-M_alt 'I 4/m m m'
_space_group_IT_number 139
_space_group_name_Hall '-I 4 2'
_cell_length_a 5.213
_cell_length_b 5.213
_cell_length_c 17.958
_cell_angle_alpha 90.00
_cell_angle_beta 90.00
_cell_angle_gamma 90.00
loop_
_atom_site_label
_atom_site_type_symbol
_atom_site_fract_x
_atom_site_fract_y
_atom_site_fract_z
Ac1 Ac 0.000 0.000 0.169
Ac2 Ac 0.000 0.500 0.000
Fe1 Fe 0.000 0.000 0.000
Sb1 Sb 0.000 0.000 0.360
```

Computed properties:
Uncorrected formation energy = -0.5490 eV/atom
Crystal system = tetragonal
Volume = 34.86 Å³ per atom

---

[3]
DFT (PBE) results for an optimized crystal structure of SrCu2C.

Cell and atoms, written as CIF:
```
data_SrCu2C
_space_group_name_H-M_alt 'I 41/a m d'
_space_group_IT_number 141
_cell_length_a 4.912
_cell_length_b 4.912
_cell_length_c 12.024
_cell_angle_alpha 90.00
_cell_angle_beta 90.00
_cell_angle_gamma 90.00
loop_
_space_group_symop_operation_xyz
'x,y,z'
'-x,-y,-z'
'-y+1/4,x+3/4,z+1/4'
'y+1/4,-x+3/4,-z+1/4'
'-x+1/2,-y,z+1/2'
'x+1/2,y,-z+1/2'
'y+1/4,-x+1/4,z+3/4'
'-y+1/4,x+1/4,-z+3/4'
'x,-y,-z'
'-x,y,z'
'-y+1/4,-x+1/4,-z+3/4'
'y+1/4,x+1/4,z+3/4'
'-x+1/2,y,-z+1/2'
'x+1/2,-y,z+1/2'
'y+1/4,x+3/4,-z+1/4'
'-y+1/4,-x+3/4,z+1/4'
'x+1/2,y+1/2,z+1/2'
'-x+1/2,-y+1/2,-z+1/2'
'-y+3/4,x+1/4,z+3/4'
'y+3/4,-x+1/4,-z+3/4'
'-x,-y+1/2,z'
'x,y+1/2,-z'
'y+3/4,-x+3/4,z+1/4'
'-y+3/4,x+3/4,-z+1/4'
'x+1/2,-y+1/2,-z+1/2'
'-x+1/2,y+1/2,z+1/2'
'-y+3/4,-x+3/4,-z+1/4'
'y+3/4,x+3/4,z+1/4'
'-x,y+1/2,-z'
'x,-y+1/2,z'
'y+3/4,x+1/4,-z+3/4'
'-y+3/4,-x+1/4,z+3/4'
loop_
_atom_site_label
_atom_site_type_symbol
_atom_site_fract_x
_atom_site_fract_y
_atom_site_fract_z
Sr1 Sr 0.000 0.250 0.375
Cu1 Cu 0.000 0.000 0.000
C1 C 0.000 0.250 0.875
```

Computed properties:
Energy relative to the elements = 0.319 eV/atom
Crystal system = tetragonal
Volume = 18.13 Å³ per atom

---

[4]
DFT (PBE) results for an optimized crystal structure of Rb2TbDyO4.

Cell and atoms, written as CIF:
```
data_Rb2TbDyO4
_space_group_name_H-M_alt 'P 1 2/m 1'
_space_group_IT_number 10
_cell_length_a 6.102
_cell_length_b 3.523
_cell_length_c 6.874
_cell_angle_alpha 90.00
_cell_angle_beta 107.20
_cell_angle_gamma 90.00
loop_
_space_group_symop_operation_xyz
'x,y,z'
'-x,-y,-z'
'-x,y,-z'
'x,-y,z'
loop_
_atom_site_label
_atom_site_type_symbol
_atom_site_fract_x
_atom_site_fract_y
_atom_site_fract_z
Rb1 Rb 0.000 0.000 0.000
Rb2 Rb 0.500 0.500 0.000
Tb1 Tb 0.000 0.500 0.500
Dy1 Dy 0.500 0.000 0.500
O1 O 0.226 0.000 0.676
O2 O 0.276 0.500 0.324
```

Computed properties:
Uncorrected formation energy = -2.6893 eV/atom
Crystal system = monoclinic
Volume = 17.65 Å³ per atom

---

[5]
DFT (PBE) results for an optimized crystal structure of BaTbAl4.

Cell and atoms, written as CIF:
```
data_BaTbAl4
_space_group_name_H-M_alt 'F -4 3 m'
_space_group_IT_number 216
_space_group_name_Hall 'F -4 2 3'
_cell_length_a 8.194
_cell_length_b 8.194
_cell_length_c 8.194
_cell_angle_alpha 90.00
_cell_angle_beta 90.00
_cell_angle_gamma 90.00
loop_
_atom_site_label
_atom_site_type_symbol
_atom_site_fract_x
_atom_site_fract_y
_atom_site_fract_z
Ba1 Ba 0.000 0.000 0.000
Tb1 Tb 0.250 0.250 0.250
Al1 Al 0.124 0.124 0.624
```

Computed properties:
Energy relative to the elements = -0.273 eV/atom
Crystal system = cubic
Volume = 22.92 Å³ per atom

---

[6]
DFT (PBE) results for an optimized crystal structure of Pr4HoSn2.

Cell and atoms, written as CIF:
```
data_Pr4HoSn2
_space_group_name_H-M_alt 'R -3 m'
_space_group_IT_number 166
_space_group_name_Hall '-R 3 2"'
_cell_length_a 5.5277
_cell_length_b 5.5277
_cell_length_c 28.3175
_cell_angle_alpha 90.00
_cell_angle_beta 90.00
_cell_angle_gamma 120.00
loop_
_atom_site_label
_atom_site_type_symbol
_atom_site_fract_x
_atom_site_fract_y
_atom_site_fract_z
Pr1 Pr 0.0000 0.0000 0.1245
Pr2 Pr 0.0000 0.0000 0.2804
Ho1 Ho 0.0000 0.0000 0.5000
Sn1 Sn 0.0000 0.0000 0.3939
```

Computed properties:
Energy relative to the elements = -0.267 eV/atom
Crystal system = trigonal
Volume = 35.68 Å³ per atom